The following is a DFT calculation (PBEsol) of a relaxed structure of TlReRu2Au.

Geometry as extended XYZ:
```
5
Lattice="4.595 0.000 0.000 0.000 4.595 0.000 0.000 0.000 5.156" Properties=species:S:1:pos:R:3 pbc="T T T"
Re 0.000 0.000 0.000
Tl 0.000 0.000 2.578
Au 2.297 2.297 2.578
Ru 0.000 2.297 0.000
Ru 2.297 0.000 0.000
```

Results
Calculated total energy (eV per atom): -6.395
Crystal system: tetragonal
Total magnetic moment (μB per atom): 0.112
Fermi-level density of states (states/eV/f.u.): 5.45
Formation energy from the elements (meV/atom): 1652